{
  "formula": "NaSr3Pd",
  "functional": "PBE-GGA",
  "state": "relaxed",
  "polymorph_energy_ev_per_atom": 0.331,
  "spacegroup": "No. 119",
  "lattice": [[-3.991, -2.991, -5.256], [5.277, 1.355, -4.777], [4.517, -9.286, -3.140]],
  "species": ["Sr", "Sr", "Sr", "Sr", "Sr", "Sr", "Pd", "Pd", "Na", "Na"],
  "fractional_positions": [[0.138, 0.883, 0.233], [0.117, 0.862, 0.767], [0.117, 0.372, 0.767], [0.628, 0.883, 0.233], [0.300, 0.300, 0.400], [0.700, 0.700, 0.600], [0.000, 0.000, 0.000], [0.250, 0.750, 0.500], [0.569, 0.069, 0.862], [0.931, 0.431, 0.138]]
}